No. 1
Below is a relaxed structure of Ca3SbP, with properties calculated at the PBE level.

- Formation energy (no corrections): -0.2269 eV/atom
- VASP energy: -3.334 eV per atom

abc: 7.211 25.625 5.340
angles: 90.00 90.00 90.00
Space group Cmcm (No. 63)
Asymmetric unit:
Ca 0.000 0.000 0.000 [4 per cell]
Ca 0.239 0.301 0.250 [8 per cell]
Sb 0.000 0.101 0.750 [4 per cell]
P 0.000 0.282 0.750 [4 per cell]

=====

No. 2
Below is a relaxed structure of SrCeTeO5, with properties calculated at the PBE level.

- Formation energy (no corrections): -2.3443 eV/atom
- VASP energy: -6.788 eV per atom

abc: 8.189 9.485 8.324
angles: 90.00 117.14 90.00
Space group C2/c (No. 15)
Asymmetric unit:
Sr 0.000 0.067 0.250 [4 per cell]
Ce 0.250 0.250 0.000 [4 per cell]
Te 0.000 0.457 0.250 [4 per cell]
O 0.000 0.205 0.750 [4 per cell]
O 0.050 0.314 0.116 [8 per cell]
O 0.222 0.020 0.066 [8 per cell]

=====

No. 3
Below is a relaxed structure of NaLaCrMo2, with properties calculated at the PBE level.

- VASP energy: -6.457 eV per atom
- Formation enthalpy at 0 K: 1.049 eV/atom

abc: 4.598 4.598 5.425
angles: 90.00 90.00 90.00
Space group P4/mmm (No. 123)
Asymmetric unit:
Na 0.000 0.000 0.000 [1 per cell]
La 0.500 0.500 0.000 [1 per cell]
Cr 0.500 0.500 0.500 [1 per cell]
Mo 0.000 0.500 0.500 [2 per cell]

=====

Q: Which of these has the highest VASP energy?
A: Ca3SbP